The following is a PBE calculation of an optimized crystal structure of Pm2SiPd4, from Alexandria via LeMat-Bulk.

a = 8.461 Å, b = 8.558 Å, c = 6.016 Å
α = 90.00°, β = 134.62°, γ = 90.00°
Space group C2/m (No. 12)
Unique sites:
Pm: 0.000 0.249 0.000 [4 per cell]
Si: 0.000 0.000 0.500 [2 per cell]
Pd: 0.000 0.272 0.500 [4 per cell]
Pd: 0.224 0.500 0.499 [4 per cell]

## Properties
As for the uncorrected formation energy: -649 meV/atom. As for the total magnetization: 0.0 μB per formula unit. The value obtained for the total DFT energy (no corrections) is -80.5 eV for the cell shown. The density comes out at 7.966 Mg/m³.



The following is a PBE calculation of an optimized crystal structure of PmSi2Pd, from Alexandria via LeMat-Bulk.

a = 4.213 Å, b = 4.213 Å, c = 4.207 Å
α = 90.00°, β = 90.00°, γ = 90.00°
Space group P4/mmm (No. 123)
Unique sites:
Pm: 0.000 0.000 0.000 [1 per cell]
Si: 0.000 0.500 0.500 [2 per cell]
Pd: 0.500 0.500 0.000 [1 per cell]

## Properties
The relative energy among the computed polymorphs is 436 meV per atom. As for the uncorrected formation energy: -401 meV/atom. As for the total magnetization: 0.0 μB per formula unit. The value obtained for the total DFT energy (no corrections) is -22.4 eV for the cell shown. The density comes out at 6.840 Mg/m³.



The following is a PBE calculation of an optimized crystal structure of Pm2Si2Pd, from Alexandria via LeMat-Bulk.

a = 10.807 Å, b = 4.295 Å, c = 10.882 Å
α = 90.00°, β = 118.08°, γ = 90.00°
Space group C2/m (No. 12)
Unique sites:
Pm: 0.097 0.000 0.398 [4 per cell]
Pm: 0.206 0.500 0.150 [4 per cell]
Si: 0.035 0.000 0.912 [4 per cell]
Si: 0.116 0.500 0.608 [4 per cell]
Pd: 0.070 0.500 0.818 [4 per cell]

## Properties
As for the uncorrected formation energy: -858 meV/atom. As for the total magnetization: 0.0 μB per formula unit. The value obtained for the total DFT energy (no corrections) is -119.3 eV for the cell shown. The density comes out at 6.745 Mg/m³.



The following is a PBE calculation of an optimized crystal structure of Pm4Si2Pd5, from Alexandria via LeMat-Bulk.

a = 6.942 Å, b = 4.085 Å, c = 8.319 Å
α = 90.00°, β = 91.64°, γ = 90.00°
Space group P2/m (No. 10)
Unique sites:
Pm: 0.234 0.000 0.378 [2 per cell]
Pm: 0.256 0.000 0.887 [2 per cell]
Si: 0.080 0.500 0.128 [2 per cell]
Pd: 0.134 0.500 0.640 [2 per cell]
Pd: 0.430 0.500 0.163 [2 per cell]
Pd: 0.500 0.500 0.500 [1 per cell]

## Properties
As for the uncorrected formation energy: -840 meV/atom. As for the total magnetization: 0.0 μB per formula unit. The value obtained for the total DFT energy (no corrections) is -65.1 eV for the cell shown. The density comes out at 8.228 Mg/m³.



The following is a PBE calculation of an optimized crystal structure of Pm2Si3Pd, from Alexandria via LeMat-Bulk.

a = 8.243 Å, b = 8.428 Å, c = 14.290 Å
α = 90.00°, β = 90.00°, γ = 90.00°
Space group Fmmm (No. 69)
Unique sites:
Pm: 0.000 0.245 0.000 [8 per cell]
Pm: 0.250 0.250 0.250 [8 per cell]
Si: 0.000 0.000 0.166 [8 per cell]
Si: 0.249 0.000 0.083 [16 per cell]
Pd: 0.000 0.000 0.333 [8 per cell]

## Properties
As for the uncorrected formation energy: -909 meV/atom. As for the total magnetization: 0.0 μB per formula unit. The value obtained for the total DFT energy (no corrections) is -291.3 eV for the cell shown. The density comes out at 6.432 Mg/m³.



The following is a PBE calculation of an optimized crystal structure of PmSiPd3, from Alexandria via LeMat-Bulk.

a = 6.520 Å, b = 12.634 Å, c = 5.240 Å
α = 90.00°, β = 90.00°, γ = 90.00°
Space group Cmcm (No. 63)
Unique sites:
Pm: 0.000 0.101 0.250 [4 per cell]
Si: 0.000 0.343 0.250 [4 per cell]
Pd: 0.000 0.500 0.000 [4 per cell]
Pd: 0.196 0.250 0.750 [8 per cell]

## Properties
The relative energy among the computed polymorphs is 435 meV per atom. As for the uncorrected formation energy: -295 meV/atom. As for the total magnetization: 0.0 μB per formula unit. The value obtained for the total DFT energy (no corrections) is -108.9 eV for the cell shown. The density comes out at 7.577 Mg/m³.



The following is a PBE calculation of an optimized crystal structure of Pm3SiPd2, from Alexandria via LeMat-Bulk.

a = 11.956 Å, b = 4.173 Å, c = 11.952 Å
α = 90.00°, β = 90.00°, γ = 90.00°
Space group Pnma (No. 62)
Unique sites:
Pm: 0.062 0.250 0.122 [4 per cell]
Pm: 0.118 0.750 0.556 [4 per cell]
Pm: 0.200 0.250 0.809 [4 per cell]
Si: 0.123 0.250 0.368 [4 per cell]
Pd: 0.025 0.750 0.309 [4 per cell]
Pd: 0.187 0.750 0.985 [4 per cell]

## Properties
As for the uncorrected formation energy: -701 meV/atom. As for the total magnetization: 0.0 μB per formula unit. The value obtained for the total DFT energy (no corrections) is -137.1 eV for the cell shown. The density comes out at 7.529 Mg/m³.



The following is a PBE calculation of an optimized crystal structure of Pm3Si2Pd3, from Alexandria via LeMat-Bulk.

a = 7.753 Å, b = 15.285 Å, c = 5.737 Å
α = 90.00°, β = 90.00°, γ = 90.00°
Space group Pnma (No. 62)
Unique sites:
Pm: 0.028 0.109 0.136 [8 per cell]
Pm: 0.163 0.250 0.630 [4 per cell]
Si: 0.125 0.603 0.359 [8 per cell]
Pd: 0.168 0.035 0.600 [8 per cell]
Pd: 0.187 0.750 0.606 [4 per cell]

## Properties
The relative energy among the computed polymorphs is 0 meV per atom. As for the uncorrected formation energy: -889 meV/atom. As for the total magnetization: 0.0 μB per formula unit. The value obtained for the total DFT energy (no corrections) is -191.2 eV for the cell shown. The density comes out at 7.918 Mg/m³.



The following is a PBE calculation of an optimized crystal structure of PmSi4Pd8, from Alexandria via LeMat-Bulk.

a = 8.754 Å, b = 8.754 Å, c = 5.276 Å
α = 90.00°, β = 90.00°, γ = 90.00°
Space group I4/mmm (No. 139)
Unique sites:
Pm: 0.000 0.000 0.000 [2 per cell]
Si: 0.250 0.250 0.250 [8 per cell]
Pd: 0.000 0.225 0.500 [8 per cell]
Pd: 0.000 0.332 0.000 [8 per cell]

## Properties
As for the uncorrected formation energy: -647 meV/atom. As for the total magnetization: 0.0 μB per formula unit. The value obtained for the total DFT energy (no corrections) is -152.8 eV for the cell shown. The density comes out at 9.107 Mg/m³.



The following is a PBE calculation of an optimized crystal structure of Pm3Si2Pd4, from Alexandria via LeMat-Bulk.

a = 10.540 Å, b = 4.410 Å, c = 8.636 Å
α = 90.00°, β = 111.73°, γ = 90.00°
Space group C2/m (No. 12)
Unique sites:
Pm: 0.000 0.000 0.000 [2 per cell]
Pm: 0.136 0.500 0.691 [4 per cell]
Si: 0.158 0.500 0.325 [4 per cell]
Pd: 0.110 0.000 0.421 [4 per cell]
Pd: 0.216 0.500 0.076 [4 per cell]

## Properties
As for the uncorrected formation energy: -876 meV/atom. As for the total magnetization: 0.0 μB per formula unit. The value obtained for the total DFT energy (no corrections) is -107.5 eV for the cell shown. The density comes out at 8.166 Mg/m³.



The following is a PBE calculation of an optimized crystal structure of Pm2Si6Pd21, from Alexandria via LeMat-Bulk.

a = 12.288 Å, b = 12.288 Å, c = 12.288 Å
α = 90.00°, β = 90.00°, γ = 90.00°
Space group Fm-3m (No. 225)
Unique sites:
Pm: 0.250 0.250 0.250 [8 per cell]
Si: 0.000 0.000 0.235 [24 per cell]
Pd: 0.000 0.000 0.500 [4 per cell]
Pd: 0.000 0.172 0.328 [48 per cell]
Pd: 0.115 0.115 0.115 [32 per cell]

## Properties
As for the uncorrected formation energy: -711 meV/atom. As for the total magnetization: 0.0 μB per formula unit. The value obtained for the total DFT energy (no corrections) is -686.8 eV for the cell shown. The density comes out at 9.641 Mg/m³.



The following is a PBE calculation of an optimized crystal structure of Pm12SiPd6, from Alexandria via LeMat-Bulk.

a = 12.9826 Å, b = 12.9826 Å, c = 12.0152 Å
α = 90.00°, β = 90.00°, γ = 120.00°
Space group R-3 (No. 148, hexagonal axes)
Unique sites:
Pm: 0.0218 0.8123 0.3897 [18 per cell]
Pm: 0.0309 0.8265 0.8820 [18 per cell]
Si: 0.0000 0.0000 0.0000 [3 per cell]
Pd: 0.0348 0.7771 0.6423 [18 per cell]

## Properties
As for the uncorrected formation energy: -441 meV/atom. As for the total magnetization: 0.0 μB per formula unit. The value obtained for the total DFT energy (no corrections) is -305.9 eV for the cell shown. The density comes out at 6.836 Mg/m³.



The following is a PBE calculation of an optimized crystal structure of PmSiPd2, from Alexandria via LeMat-Bulk.

a = 4.412 Å, b = 4.412 Å, c = 3.879 Å
α = 90.00°, β = 90.00°, γ = 90.00°
Space group P4/mmm (No. 123)
Unique sites:
Pm: 0.000 0.000 0.000 [1 per cell]
Si: 0.500 0.500 0.000 [1 per cell]
Pd: 0.000 0.500 0.500 [2 per cell]

## Properties
The relative energy among the computed polymorphs is 422 meV per atom. As for the uncorrected formation energy: -505 meV/atom. As for the total magnetization: 0.0 μB per formula unit. The value obtained for the total DFT energy (no corrections) is -22.6 eV for the cell shown. The density comes out at 8.488 Mg/m³.



The following is a PBE calculation of an optimized crystal structure of PmSi2Pd, from Alexandria via LeMat-Bulk.

a = 4.042 Å, b = 6.085 Å, c = 7.026 Å
α = 90.00°, β = 90.00°, γ = 90.00°
Space group Amm2 (No. 38)
Unique sites:
Pm: 0.000 0.000 0.000 [2 per cell]
Si: 0.500 0.185 0.703 [4 per cell]
Pd: 0.500 0.000 0.393 [2 per cell]

## Properties
The relative energy among the computed polymorphs is 300 meV per atom. As for the uncorrected formation energy: -537 meV/atom. As for the total magnetization: 0.0 μB per formula unit. The value obtained for the total DFT energy (no corrections) is -45.9 eV for the cell shown. The density comes out at 5.911 Mg/m³.



The following is a PBE calculation of an optimized crystal structure of PmSi2Pd8, from Alexandria via LeMat-Bulk.

a = 5.574 Å, b = 5.574 Å, c = 7.047 Å
α = 90.00°, β = 90.00°, γ = 90.00°
Space group P4/mmm (No. 123)
Unique sites:
Pm: 0.000 0.000 0.000 [1 per cell]
Si: 0.000 0.500 0.500 [2 per cell]
Pd: 0.255 0.255 0.295 [8 per cell]

## Properties
As for the uncorrected formation energy: -355 meV/atom. As for the total magnetization: 0.0 μB per formula unit. The value obtained for the total DFT energy (no corrections) is -61.0 eV for the cell shown. The density comes out at 7.981 Mg/m³.



The following is a PBE calculation of an optimized crystal structure of PmSiPd, from Alexandria via LeMat-Bulk.

a = 4.2092 Å, b = 4.2092 Å, c = 8.3288 Å
α = 90.00°, β = 90.00°, γ = 120.00°
Space group P6_3/mmc (No. 194)
Unique sites:
Pm: 0.0000 0.0000 0.0000 [2 per cell]
Si: 0.3333 0.6667 0.2500 [2 per cell]
Pd: 0.3333 0.6667 0.7500 [2 per cell]

## Properties
The relative energy among the computed polymorphs is 0 meV per atom. As for the uncorrected formation energy: -907 meV/atom. As for the total magnetization: 0.0 μB per formula unit. The value obtained for the total DFT energy (no corrections) is -36.2 eV for the cell shown. The density comes out at 7.264 Mg/m³.



The following is a PBE calculation of an optimized crystal structure of Pm3SiPd, from Alexandria via LeMat-Bulk.

a = 12.004 Å, b = 5.862 Å, c = 7.837 Å
α = 90.00°, β = 102.58°, γ = 90.00°
Space group P2_1/c (No. 14)
Unique sites:
Pm: 0.090 0.122 0.342 [4 per cell]
Pm: 0.255 0.625 0.246 [4 per cell]
Pm: 0.407 0.121 0.148 [4 per cell]
Si: 0.420 0.618 0.011 [4 per cell]
Pd: 0.097 0.619 0.490 [4 per cell]

## Properties
As for the uncorrected formation energy: -571 meV/atom. As for the total magnetization: 0.0 μB per formula unit. The value obtained for the total DFT energy (no corrections) is -110.9 eV for the cell shown. The density comes out at 7.028 Mg/m³.



The following is a PBE calculation of an optimized crystal structure of PmSi6Pd12, from Alexandria via LeMat-Bulk.

a = 11.2696 Å, b = 11.2696 Å, c = 8.4012 Å
α = 90.00°, β = 90.00°, γ = 120.00°
Space group R-3m (No. 166, hexagonal axes)
Unique sites:
Pm: 0.0000 0.0000 0.0000 [3 per cell]
Si: 0.0402 0.5201 0.2702 [18 per cell]
Pd: 0.0000 0.3752 0.5000 [18 per cell]
Pd: 0.0874 0.1748 0.3473 [18 per cell]

## Properties
As for the uncorrected formation energy: -658 meV/atom. As for the total magnetization: 0.0 μB per formula unit. The value obtained for the total DFT energy (no corrections) is -336.3 eV for the cell shown. The density comes out at 8.575 Mg/m³.